Record 1
# PmEuSnRu (PBE-GGA, optimized geometry)
data_PmEuSnRu
_chemical_formula_sum 'Pm4 Eu4 Sn4 Ru4'
_cell_length_a 7.1356
_cell_length_b 7.1356
_cell_length_c 7.1356
_cell_angle_alpha 90.00
_cell_angle_beta 90.00
_cell_angle_gamma 90.00
_space_group_name_H-M_alt 'F -4 3 m'
_space_group_IT_number 216
_space_group_name_Hall 'F -4 2 3'
loop_
_atom_site_label
_atom_site_fract_x
_atom_site_fract_y
_atom_site_fract_z
_atom_site_occupancy
Pm1 0.0000 0.0000 0.0000 1
Eu1 0.2500 0.2500 0.2500 1
Sn1 0.0000 0.0000 0.5000 1
Ru1 0.2500 0.2500 0.7500 1
# - DFT formation energy (eV/atom) = -0.225

---

Record 2
# La2PmSm2Y (PBE-GGA, optimized geometry)
data_La2PmSm2Y
_chemical_formula_sum 'La4 Pm2 Sm4 Y2'
_cell_length_a 7.1704
_cell_length_b 5.7847
_cell_length_c 9.9976
_cell_angle_alpha 90.00
_cell_angle_beta 90.00
_cell_angle_gamma 90.00
_space_group_name_H-M_alt 'P m m a'
_space_group_IT_number 51
_space_group_name_Hall '-P 2a 2a'
loop_
_atom_site_label
_atom_site_fract_x
_atom_site_fract_y
_atom_site_fract_z
_atom_site_occupancy
La1 0.0000 0.0000 0.0000 1
La2 0.2500 0.5000 0.1740 1
Pm1 0.2500 0.0000 0.6603 1
Sm1 0.2500 0.0000 0.3333 1
Sm2 0.2500 0.5000 0.8342 1
Y1 0.0000 0.5000 0.5000 1
# - DFT formation energy (eV/atom) = 0.049

---

Record 3
# Th2GeAs3Rh4 (PBE-GGA, optimized geometry)
data_Th2GeAs3Rh4
_chemical_formula_sum 'Th2 Ge1 As3 Rh4'
_cell_length_a 4.2736
_cell_length_b 4.2736
_cell_length_c 10.1073
_cell_angle_alpha 90.00
_cell_angle_beta 90.00
_cell_angle_gamma 90.00
_space_group_name_H-M_alt 'P -4 m 2'
_space_group_IT_number 115
_space_group_name_Hall 'P -4 -2'
loop_
_atom_site_label
_atom_site_fract_x
_atom_site_fract_y
_atom_site_fract_z
_atom_site_occupancy
Th1 0.0000 0.5000 0.2478 1
Ge1 0.0000 0.0000 0.5000 1
As1 0.0000 0.5000 0.8628 1
As2 0.5000 0.5000 0.5000 1
Rh1 0.0000 0.0000 0.0000 1
Rh2 0.0000 0.5000 0.6233 1
Rh3 0.5000 0.5000 0.0000 1
# - DFT formation energy (eV/atom) = -0.943

---

Record 4
# SrW2Br (PBE-GGA, optimized geometry)
data_SrW2Br
_chemical_formula_sum 'Sr4 W8 Br4'
_cell_length_a 6.8599
_cell_length_b 6.8599
_cell_length_c 6.8599
_cell_angle_alpha 90.00
_cell_angle_beta 90.00
_cell_angle_gamma 90.00
_space_group_name_H-M_alt 'F m -3 m'
_space_group_IT_number 225
_space_group_name_Hall '-F 4 2 3'
loop_
_atom_site_label
_atom_site_fract_x
_atom_site_fract_y
_atom_site_fract_z
_atom_site_occupancy
Sr1 0.0000 0.0000 0.0000 1
W1 0.2500 0.2500 0.2500 1
Br1 0.0000 0.0000 0.5000 1
# - raw formation energy (eV/atom) = 2.172

---

Record 5
# Sr2BiF (PBE-GGA, optimized geometry)
data_Sr2BiF
_chemical_formula_sum 'Sr8 Bi4 F4'
_cell_length_a 7.7312
_cell_length_b 7.7312
_cell_length_c 8.2493
_cell_angle_alpha 90.00
_cell_angle_beta 90.00
_cell_angle_gamma 90.00
_space_group_name_H-M_alt 'I -4 2 d'
_space_group_IT_number 122
_space_group_name_Hall 'I -4 2bw'
loop_
_atom_site_label
_atom_site_fract_x
_atom_site_fract_y
_atom_site_fract_z
_atom_site_occupancy
Sr1 0.1658 0.2500 0.1250 1
Bi1 0.0000 0.0000 0.5000 1
F1 0.0000 0.0000 0.0000 1
# - raw formation energy (eV/atom) = -1.850

---

Record 6
# FeSb (PBE-GGA, optimized geometry)
data_FeSb
_chemical_formula_sum 'Fe6 Sb6'
_cell_length_a 7.2353
_cell_length_b 7.2353
_cell_length_c 7.2353
_cell_angle_alpha 90.00
_cell_angle_beta 90.00
_cell_angle_gamma 90.00
_space_group_name_H-M_alt 'P m -3 n'
_space_group_IT_number 223
_space_group_name_Hall '-P 4n 2 3'
loop_
_atom_site_label
_atom_site_fract_x
_atom_site_fract_y
_atom_site_fract_z
_atom_site_occupancy
Fe1 0.0000 0.2500 0.5000 1
Sb1 0.0000 0.5000 0.2500 1
# - raw formation energy (eV/atom) = 0.757

---

Record 7
# Pm4Sm5Al (PBE-GGA, optimized geometry)
data_Pm4Sm5Al
_chemical_formula_sum 'Pm4 Sm5 Al1'
_cell_length_a 3.6374
_cell_length_b 3.6374
_cell_length_c 24.5009
_cell_angle_alpha 90.00
_cell_angle_beta 90.00
_cell_angle_gamma 90.00
_space_group_name_H-M_alt 'P 4/m m m'
_space_group_IT_number 123
_space_group_name_Hall '-P 4 2'
loop_
_atom_site_label
_atom_site_fract_x
_atom_site_fract_y
_atom_site_fract_z
_atom_site_occupancy
Pm1 0.0000 0.0000 0.1051 1
Pm2 0.0000 0.0000 0.3158 1
Sm1 0.5000 0.5000 0.0000 1
Sm2 0.5000 0.5000 0.2112 1
Sm3 0.5000 0.5000 0.4230 1
Al1 0.0000 0.0000 0.5000 1
# - DFT formation energy (eV/atom) = -0.055

---

Record 8
# PSeBrCl2 (PBE-GGA, optimized geometry)
data_PSeBrCl2
_chemical_formula_sum 'P1 Se1 Br1 Cl2'
_cell_length_a 4.8182
_cell_length_b 4.8182
_cell_length_c 5.5633
_cell_angle_alpha 90.00
_cell_angle_beta 90.00
_cell_angle_gamma 90.00
_space_group_name_H-M_alt 'P 4/m m m'
_space_group_IT_number 123
_space_group_name_Hall '-P 4 2'
loop_
_atom_site_label
_atom_site_fract_x
_atom_site_fract_y
_atom_site_fract_z
_atom_site_occupancy
P1 0.0000 0.0000 0.0000 1
Se1 0.0000 0.0000 0.5000 1
Br1 0.5000 0.5000 0.0000 1
Cl1 0.0000 0.5000 0.5000 1
# - raw formation energy (eV/atom) = 0.449

---

Record 9
# SmLu3Co (PBE-GGA, optimized geometry)
data_SmLu3Co
_chemical_formula_sum 'Sm1 Lu3 Co1'
_cell_length_a 5.1793
_cell_length_b 5.1793
_cell_length_c 5.1793
_cell_angle_alpha 90.00
_cell_angle_beta 90.00
_cell_angle_gamma 90.00
_space_group_name_H-M_alt 'P m -3 m'
_space_group_IT_number 221
_space_group_name_Hall '-P 4 2 3'
loop_
_atom_site_label
_atom_site_fract_x
_atom_site_fract_y
_atom_site_fract_z
_atom_site_occupancy
Sm1 0.0000 0.0000 0.0000 1
Lu1 0.0000 0.5000 0.5000 1
Co1 0.5000 0.5000 0.5000 1
# - DFT formation energy (eV/atom) = -0.077

---

Record 10
# Co2SiAg (PBE-GGA, optimized geometry)
data_Co2SiAg
_chemical_formula_sum 'Co2 Si1 Ag1'
_cell_length_a 2.7196
_cell_length_b 2.7196
_cell_length_c 7.1099
_cell_angle_alpha 90.00
_cell_angle_beta 90.00
_cell_angle_gamma 90.00
_space_group_name_H-M_alt 'P 4 m m'
_space_group_IT_number 99
_space_group_name_Hall 'P 4 -2'
loop_
_atom_site_label
_atom_site_fract_x
_atom_site_fract_y
_atom_site_fract_z
_atom_site_occupancy
Co1 0.0000 0.0000 0.0000 1
Co2 0.5000 0.5000 0.2184 1
Si1 0.0000 0.0000 0.4106 1
Ag1 0.5000 0.5000 0.7148 1
# - raw formation energy (eV/atom) = 0.127

---

Record 11
# Cu3AsW (PBE-GGA, optimized geometry)
data_Cu3AsW
_chemical_formula_sum 'Cu3 As1 W1'
_cell_length_a 4.3564
_cell_length_b 4.3564
_cell_length_c 4.3564
_cell_angle_alpha 90.00
_cell_angle_beta 90.00
_cell_angle_gamma 90.00
_space_group_name_H-M_alt 'P m -3 m'
_space_group_IT_number 221
_space_group_name_Hall '-P 4 2 3'
loop_
_atom_site_label
_atom_site_fract_x
_atom_site_fract_y
_atom_site_fract_z
_atom_site_occupancy
Cu1 0.0000 0.0000 0.5000 1
As1 0.0000 0.0000 0.0000 1
W1 0.5000 0.5000 0.5000 1
# - DFT formation energy (eV/atom) = 1.277

---

Record 12
# Tm6ZnPt5 (PBE-GGA, optimized geometry)
data_Tm6ZnPt5
_chemical_formula_sum 'Tm12 Zn2 Pt10'
_cell_length_a 4.8701
_cell_length_b 6.9255
_cell_length_c 14.7106
_cell_angle_alpha 90.00
_cell_angle_beta 90.00
_cell_angle_gamma 90.00
_space_group_name_H-M_alt 'I m m m'
_space_group_IT_number 71
_space_group_name_Hall '-I 2 2'
loop_
_atom_site_label
_atom_site_fract_x
_atom_site_fract_y
_atom_site_fract_z
_atom_site_occupancy
Tm1 0.0000 0.2424 0.0000 1
Tm2 0.0000 0.2534 0.3315 1
Zn1 0.0000 0.0000 0.5000 1
Pt1 0.0000 0.0000 0.1719 1
Pt2 0.0000 0.5000 0.1556 1
Pt3 0.0000 0.5000 0.5000 1
# - DFT formation energy (eV/atom) = -1.143

---

Record 13
# Ca2BiI (PBE-GGA, optimized geometry)
data_Ca2BiI
_chemical_formula_sum 'Ca8 Bi4 I4'
_cell_length_a 9.4339
_cell_length_b 7.8441
_cell_length_c 7.9061
_cell_angle_alpha 90.00
_cell_angle_beta 90.00
_cell_angle_gamma 90.00
_space_group_name_H-M_alt 'P b c m'
_space_group_IT_number 57
_space_group_name_Hall '-P 2c 2b'
loop_
_atom_site_label
_atom_site_fract_x
_atom_site_fract_y
_atom_site_fract_z
_atom_site_occupancy
Ca1 0.0849 0.2500 0.0000 1
Ca2 0.3495 0.7500 0.0000 1
Bi1 0.1402 0.5679 0.2500 1
I1 0.3871 0.0863 0.2500 1
# - raw formation energy (eV/atom) = -1.093

---

Record 14
# CuTeCl4 (PBE-GGA, optimized geometry)
data_CuTeCl4
_chemical_formula_sum 'Cu4 Te4 Cl16'
_cell_length_a 10.5130
_cell_length_b 7.8759
_cell_length_c 9.7980
_cell_angle_alpha 90.00
_cell_angle_beta 97.05
_cell_angle_gamma 90.00
_space_group_name_H-M_alt 'C 1 2/c 1'
_space_group_IT_number 15
_space_group_name_Hall '-C 2yc'
loop_
_atom_site_label
_atom_site_fract_x
_atom_site_fract_y
_atom_site_fract_z
_atom_site_occupancy
Cu1 0.0000 0.0786 0.2500 1
Te1 0.2500 0.2500 0.0000 1
Cl1 0.0186 0.2415 0.0573 1
Cl2 0.1922 0.0609 0.7855 1
# - raw formation energy (eV/atom) = -0.466

---

Record 15
# NpAlNi (PBE-GGA, optimized geometry)
data_NpAlNi
_chemical_formula_sum 'Np4 Al4 Ni4'
_cell_length_a 8.3908
_cell_length_b 2.6918
_cell_length_c 9.2230
_cell_angle_alpha 90.00
_cell_angle_beta 115.37
_cell_angle_gamma 90.00
_space_group_name_H-M_alt 'C 1 2/m 1'
_space_group_IT_number 12
_space_group_name_Hall '-C 2y'
loop_
_atom_site_label
_atom_site_fract_x
_atom_site_fract_y
_atom_site_fract_z
_atom_site_occupancy
Np1 0.0890 0.0000 0.4284 1
Al1 0.0959 0.0000 0.9167 1
Ni1 0.2486 0.0000 0.2189 1
# - DFT formation energy (eV/atom) = -0.001